This record from the Alexandria database describes a geometry-optimized Cs2MnS structure. The functional is PBEsol.

M_tot ... 5.0 μB/f.u.
D(E_F) ... 2.187 states/eV/f.u.
Uncorrected formation energy ... 0.27 eV/atom

Cell lengths 8.292, 8.292, 8.292 Å; angles 90.00, 90.00, 90.00 degrees
Space group Fm-3m (No. 225)
Symmetry-distinct sites (fractional):
Cs 0.250 0.250 0.250 [8 per cell]
Mn 0.000 0.000 0.000 [4 per cell]
S 0.000 0.000 0.500 [4 per cell]